1.
Crystalline ScIn3Cl at its relaxed geometry, computed with PBE. Values from VASP.

Computed properties:
N(E_F)   0.895 states/eV per atom
ΔE_f (raw)   0.2465 eV per atom
Polymorph energy (0 for the lowest one)   0.00 eV per formula unit
E_tot   -3.03 eV/atom

The structure in Quantum ESPRESSO input format:
```
&SYSTEM
  ibrav = 0, nat = 5, ntyp = 3
/
ATOMIC_SPECIES
Sc 44.96 Sc.upf
Cl 35.45 Cl.upf
In 114.82 In.upf
CELL_PARAMETERS angstrom
-2.769 2.380 3.938
-4.528 -0.590 -2.827
-0.820 -4.778 2.311
ATOMIC_POSITIONS angstrom
Sc -4.058 -1.494 1.711
Cl 0.000 0.000 0.000
In -2.264 -0.295 -1.413
In -0.410 -2.389 1.156
In -1.384 1.190 1.969
```

---

2.
Crystalline BeZn2Cd at its relaxed geometry, computed with PBE. Values from VASP.

Computed properties:
N(E_F)   0.204 states/eV per atom
Polymorph energy (0 for the lowest one)   0.34 eV per formula unit
E_tot   -1.56 eV/atom

The structure in Quantum ESPRESSO input format:
```
&SYSTEM
  ibrav = 0, nat = 4, ntyp = 3
/
ATOMIC_SPECIES
Be 9.01 Be.upf
Zn 65.41 Zn.upf
Cd 112.41 Cd.upf
CELL_PARAMETERS angstrom
4.835 0.001 0.059
4.069 2.612 0.059
1.842 0.541 5.001
ATOMIC_POSITIONS angstrom
Be 8.059 2.365 3.840
Zn 2.001 0.587 4.773
Zn 5.213 1.530 2.788
Cd 2.686 0.788 1.280
```

---

3.
Crystalline PuAlRu2 at its relaxed geometry, computed with PBE. Values from VASP.

Computed properties:
N(E_F)   1.434 states/eV per atom
E_tot   -9.52 eV/atom

The structure in Quantum ESPRESSO input format:
```
&SYSTEM
  ibrav = 0, nat = 4, ntyp = 3
/
ATOMIC_SPECIES
Ru 101.07 Ru.upf
Al 26.98 Al.upf
Pu 244.00 Pu.upf
CELL_PARAMETERS angstrom
3.417 0.000 0.000
0.000 4.386 0.000
0.000 0.000 4.386
ATOMIC_POSITIONS angstrom
Ru 0.000 0.000 2.193
Ru 0.000 2.193 0.000
Al 1.709 2.193 2.193
Pu 1.709 0.000 0.000
```

---

4.
Crystalline Ta2AsPt at its relaxed geometry, computed with PBE. Values from VASP.

Computed properties:
N(E_F)   1.035 states/eV per atom
E_tot   -8.86 eV/atom

The structure in Quantum ESPRESSO input format:
```
&SYSTEM
  ibrav = 0, nat = 4, ntyp = 3
/
ATOMIC_SPECIES
As 74.92 As.upf
Pt 195.08 Pt.upf
Ta 180.95 Ta.upf
CELL_PARAMETERS angstrom
4.826 0.000 0.000
0.000 4.826 0.000
0.000 0.000 2.882
ATOMIC_POSITIONS angstrom
As 2.413 0.000 1.441
Pt 0.000 2.413 1.441
Ta 0.000 0.000 0.000
Ta 2.413 2.413 0.000
```

---

5.
Crystalline LiTaV3 at its relaxed geometry, computed with PBE. Values from VASP.

Computed properties:
N(E_F)   1.229 states/eV per atom
Polymorph energy (0 for the lowest one)   1.95 eV per formula unit
E_tot   -6.77 eV/atom

The structure in Quantum ESPRESSO input format:
```
&SYSTEM
  ibrav = 0, nat = 5, ntyp = 3
/
ATOMIC_SPECIES
Li 6.94 Li.upf
Ta 180.95 Ta.upf
V 50.94 V.upf
CELL_PARAMETERS angstrom
-3.466 -0.638 -3.124
0.288 -4.658 0.632
-3.175 0.275 3.467
ATOMIC_POSITIONS angstrom
Li -3.177 -2.511 0.488
Ta 0.000 0.000 0.000
V 0.144 -2.329 0.316
V -1.588 0.137 1.733
V -1.733 -0.319 -1.562
```

---

6.
Crystalline MnHg2Os at its relaxed geometry, computed with PBE. Values from VASP.

Computed properties:
N(E_F)   0.741 states/eV per atom
Polymorph energy (0 for the lowest one)   1.28 eV per formula unit
E_tot   -4.55 eV/atom

The structure in Quantum ESPRESSO input format:
```
&SYSTEM
  ibrav = 0, nat = 4, ntyp = 3
/
ATOMIC_SPECIES
Hg 200.59 Hg.upf
Mn 54.94 Mn.upf
Os 190.23 Os.upf
CELL_PARAMETERS angstrom
9.540 0.021 0.013
9.077 2.937 0.013
9.077 1.442 2.558
ATOMIC_POSITIONS angstrom
Hg 27.660 4.395 2.580
Hg 13.879 2.205 1.295
Mn 6.923 1.100 0.646
Os 20.770 3.300 1.937
```